[1]
# YHf3Br

Crystalline YHf3Br at its relaxed geometry (PBE, the Alexandria database).

As for the uncorrected formation energy: 163 kJ/mol of formula units. The calculation puts the total energy at -7.26 eV/atom.

The structure belongs to space group Pm-3m (No. 221); the cell edges are 5.0161, 5.0161 and 5.0161 Å and the angles 90.00°, 90.00° and 90.00°. The inequivalent atoms are Y at (0.0000, 0.0000, 0.0000), Hf at (0.0000, 0.5000, 0.5000) and Br at (0.5000, 0.5000, 0.5000).

[2]
# YHf2Br

Crystalline YHf2Br at its relaxed geometry (PBE, the Alexandria database).

As for the uncorrected formation energy: 85 kJ/mol of formula units. The calculation puts the total energy at -6.79 eV/atom.

The structure belongs to space group I-42d (No. 122); the cell edges are 4.1091, 4.1091 and 24.0195 Å and the angles 90.00°, 90.00° and 90.00°. The inequivalent atoms are Y at (0.0000, 0.0000, 0.0000), Hf at (0.2461, 0.2500, 0.1250) and Br at (0.0000, 0.0000, 0.5000).

[3]
# Y3HfBr

Crystalline Y3HfBr at its relaxed geometry (PBE, the Alexandria database).

As for the uncorrected formation energy: 29 kJ/mol of formula units. The calculation puts the total energy at -6.14 eV/atom.

The structure belongs to space group Pm-3m (No. 221); the cell edges are 5.3231, 5.3231 and 5.3231 Å and the angles 90.00°, 90.00° and 90.00°. The inequivalent atoms are Y at (0.0000, 0.0000, 0.5000), Hf at (0.5000, 0.5000, 0.5000) and Br at (0.0000, 0.0000, 0.0000).

[4]
# HfZn3Br

Crystalline HfZn3Br at its relaxed geometry (PBE, the Alexandria database).

As for the uncorrected formation energy: 515 kJ/mol of formula units. The calculation puts the total energy at -2.02 eV/atom.

The structure belongs to space group Pm-3m (No. 221); the cell edges are 4.9175, 4.9175 and 4.9175 Å and the angles 90.00°, 90.00° and 90.00°. The inequivalent atoms are Hf at (0.0000, 0.0000, 0.0000), Zn at (0.0000, 0.5000, 0.5000) and Br at (0.5000, 0.5000, 0.5000).